## 1
Compound: K6NaHg
Source: Alexandria
Functional: PBE
Structure: optimized geometry

## Properties
SG: Amm2
Theoretical density (kg/m³): 1590
Total magnetic moment (Bohr magnetons per cell): 0.0

Unit cell a=4.8707 b=9.9362 c=9.9362 alpha=95.72 beta=90.00 gamma=90.00
Positions (direct):
K: 0.0000 0.5533 0.7886
K: 0.0000 0.2114 0.4467
K: 0.0000 0.6449 0.3550
K: 0.5000 0.9083 0.6344
K: 0.5000 0.3656 0.0917
K: 0.5000 0.9026 0.0974
Na: 0.0000 0.1349 0.8651
Hg: 0.5000 0.2789 0.7211

***

## 2
Compound: K6NaHg
Source: Alexandria
Functional: PBE
Structure: optimized geometry

## Properties
SG: P4/mmm
Theoretical density (kg/m³): 1702
Total magnetic moment (Bohr magnetons per cell): 0.0

Unit cell a=6.0428 b=6.0428 c=12.2390 alpha=90.00 beta=90.00 gamma=90.00
Positions (direct):
K: 0.5000 0.5000 0.0000
K: 0.5000 0.5000 0.5000
K: 0.5000 0.0000 0.2697
K: 0.5000 0.0000 0.7303
K: 0.0000 0.5000 0.2697
K: 0.0000 0.5000 0.7303
Na: 0.0000 0.0000 0.0000
Hg: 0.0000 0.0000 0.5000

***

Of them, 1 has the highest stability.